Record 1
SrTa2Ir | PBE | optimized geometry

Calculated values
ρ: 11.858 Mg/m³
Energy relative to the elements: 1.3 eV/f.u.
Volume: 89.86 Å³ per cell

CIF file:
```
data_SrTa2Ir
_symmetry_space_group_name_H-M 'P 1 2/m 1'
_symmetry_Int_Tables_number 10
_symmetry_space_group_name_Hall '-P 2y'
_cell_length_a 2.9483
_cell_length_b 3.8894
_cell_length_c 7.8372
_cell_angle_alpha 90.00
_cell_angle_beta 90.55
_cell_angle_gamma 90.00
loop_
_atom_site_label
_atom_site_type_symbol
_atom_site_fract_x
_atom_site_fract_y
_atom_site_fract_z
_atom_site_occupancy
Sr1 Sr 0.0000 0.0000 0.0000 1
Ta1 Ta 0.4647 0.5000 0.6666 1
Ir1 Ir 0.0000 0.0000 0.5000 1
```



Record 2
SrTa2Ir | PBE | optimized geometry

Calculated values
ρ: 13.092 Mg/m³
Energy relative to the elements: 2.8 eV/f.u.
Volume: 162.79 Å³ per cell

CIF file:
```
data_SrTa2Ir
_symmetry_space_group_name_H-M 'I 4/m m m'
_symmetry_Int_Tables_number 139
_symmetry_space_group_name_Hall '-I 4 2'
_cell_length_a 4.0242
_cell_length_b 4.0242
_cell_length_c 10.0522
_cell_angle_alpha 90.00
_cell_angle_beta 90.00
_cell_angle_gamma 90.00
loop_
_atom_site_label
_atom_site_type_symbol
_atom_site_fract_x
_atom_site_fract_y
_atom_site_fract_z
_atom_site_occupancy
Sr1 Sr 0.0000 0.0000 0.0000 1
Ta1 Ta 0.0000 0.5000 0.2500 1
Ir1 Ir 0.0000 0.0000 0.5000 1
```



Record 3
Sr2TaIr | PBE | optimized geometry

Calculated values
ρ: 9.645 Mg/m³
Energy relative to the elements: 3.1 eV/f.u.
Volume: 94.42 Å³ per cell

CIF file:
```
data_Sr2TaIr
_symmetry_space_group_name_H-M 'P 1 2/m 1'
_symmetry_Int_Tables_number 10
_symmetry_space_group_name_Hall '-P 2y'
_cell_length_a 3.2111
_cell_length_b 5.1168
_cell_length_c 5.7841
_cell_angle_alpha 90.00
_cell_angle_beta 96.51
_cell_angle_gamma 90.00
loop_
_atom_site_label
_atom_site_type_symbol
_atom_site_fract_x
_atom_site_fract_y
_atom_site_fract_z
_atom_site_occupancy
Sr1 Sr 0.0607 0.0000 0.2595 1
Ta1 Ta 0.5000 0.5000 0.0000 1
Ir1 Ir 0.5000 0.5000 0.5000 1
```



Record 4
Sr2TaIr | PBE | optimized geometry

Calculated values
ρ: 7.829 Mg/m³
Energy relative to the elements: 0.8 eV/f.u.
Volume: 232.62 Å³ per cell

CIF file:
```
data_Sr2TaIr
_symmetry_space_group_name_H-M 'I m m 2'
_symmetry_Int_Tables_number 44
_symmetry_space_group_name_Hall 'I 2 -2'
_cell_length_a 3.7239
_cell_length_b 5.5990
_cell_length_c 11.1569
_cell_angle_alpha 90.00
_cell_angle_beta 90.00
_cell_angle_gamma 90.00
loop_
_atom_site_label
_atom_site_type_symbol
_atom_site_fract_x
_atom_site_fract_y
_atom_site_fract_z
_atom_site_occupancy
Sr1 Sr 0.0000 0.0000 0.0000 1
Sr2 Sr 0.0000 0.5000 0.2048 1
Ta1 Ta 0.0000 0.5000 0.8132 1
Ir1 Ir 0.0000 0.0000 0.4547 1
```



| no. | E above lowest polymorph (kJ/mol of formula units) |
| --- | --- |
| 1 | 80.9 |
| 2 | 230.7 |
| 3 | 279.5 |
| 4 | 61.1 |